A relaxed Ba3Ag crystal, computed with PBE-GGA.

Values from the calculation:
The energy above the lowest structure with this stoichiometry is 0.97 eV/f.u. For the density of states at the Fermi level, the calculation gives 10.93 states/eV per cell. The theoretical density is 4.58 Mg/m³. The total energy is -2.0419 eV/atom. The formation energy is 113 meV per atom.

Cell: 7.225 7.225 7.225 Å, 90.00 90.00 90.00°
Fractional coordinates of all 8 atoms:
Ba: 0.000 0.250 0.500
Ba: 0.000 0.750 0.500
Ba: 0.250 0.500 0.000
Ba: 0.500 0.000 0.250
Ba: 0.500 0.000 0.750
Ba: 0.750 0.500 0.000
Ag: 0.000 0.000 0.000
Ag: 0.500 0.500 0.500